Entry 1:
Material: TaCuPd3
Method: DFT, PBE-GGA
State: optimized geometry

```
data_TaCuPd3
_space_group_name_H-M_alt 'P 1'
_space_group_IT_number 1
_cell_length_a 4.5033
_cell_length_b 4.5033
_cell_length_c 4.5033
_cell_angle_alpha 90.00
_cell_angle_beta 90.00
_cell_angle_gamma 90.00
loop_
_space_group_symop_operation_xyz
'x,y,z'
loop_
_atom_site_label
_atom_site_fract_x
_atom_site_fract_y
_atom_site_fract_z
Cu1 0.0000 0.0000 0.0000
Ta1 0.5000 0.5000 0.5000
Pd1 0.0000 0.5000 0.0000
Pd2 0.5000 0.0000 0.0000
Pd3 0.0000 0.0000 0.5000
```

Computed properties:
**Energy above the most stable polymorph in this dataset**: 1.001 eV per atom
**DFT total energy**: -5.4018 eV/atom
**Space group**: Pm-3m, No. 221
**DOS(E_F)**: 7.69 states/eV per cell
**Energy of formation from the pure elements**: 903.7 meV per atom

***

Entry 2:
Material: Cs2Se2Br
Method: DFT, PBE-GGA
State: optimized geometry

```
data_Cs2Se2Br
_space_group_name_H-M_alt 'P 1'
_space_group_IT_number 1
_cell_length_a 9.6681
_cell_length_b 9.6681
_cell_length_c 5.3663
_cell_angle_alpha 90.00
_cell_angle_beta 90.00
_cell_angle_gamma 90.00
loop_
_space_group_symop_operation_xyz
'x,y,z'
loop_
_atom_site_label
_atom_site_fract_x
_atom_site_fract_y
_atom_site_fract_z
Se1 0.9157 0.4157 0.5000
Se2 0.5843 0.9157 0.5000
Se3 0.0843 0.5843 0.5000
Cs1 0.6880 0.1880 0.0000
Br1 0.0000 0.0000 0.0000
Cs2 0.3120 0.8120 0.0000
Br2 0.5000 0.5000 0.0000
Cs3 0.8120 0.6880 0.0000
Se4 0.4157 0.0843 0.5000
Cs4 0.1880 0.3120 0.0000
```

Computed properties:
**Formation energy (no corrections)**: -981.7 meV per atom
**Energy above the most stable polymorph in this dataset**: 0.099 eV per atom
**DFT total energy**: -3.0515 eV/atom
**Space group**: P4/mbm, No. 127
**DOS(E_F)**: 9.39 states/eV per cell

***

Entry 3:
Material: SiAgSb2
Method: DFT, PBE-GGA
State: optimized geometry

```
data_SiAgSb2
_space_group_name_H-M_alt 'P 1'
_space_group_IT_number 1
_cell_length_a 4.0607
_cell_length_b 4.0607
_cell_length_c 6.9430
_cell_angle_alpha 72.90
_cell_angle_beta 72.90
_cell_angle_gamma 60.83
loop_
_space_group_symop_operation_xyz
'x,y,z'
loop_
_atom_site_label
_atom_site_fract_x
_atom_site_fract_y
_atom_site_fract_z
Ag1 0.2404 0.2404 0.2798
Sb1 0.7632 0.7632 0.7128
Si1 0.5069 0.5069 0.4792
Sb2 0.9895 0.9895 0.0282
```

Computed properties:
**Formation energy (no corrections)**: 256.6 meV per atom
**DFT total energy**: -3.8732 eV/atom
**Space group**: Cm, No. 8
**DOS(E_F)**: 1.25 states/eV per cell

***

Entry 4:
Material: Fe2NiSb
Method: DFT, PBE-GGA
State: optimized geometry

```
data_Fe2NiSb
_space_group_name_H-M_alt 'P 1'
_space_group_IT_number 1
_cell_length_a 4.7864
_cell_length_b 4.7864
_cell_length_c 4.7864
_cell_angle_alpha 134.60
_cell_angle_beta 134.61
_cell_angle_gamma 66.14
loop_
_space_group_symop_operation_xyz
'x,y,z'
loop_
_atom_site_label
_atom_site_fract_x
_atom_site_fract_y
_atom_site_fract_z
Sb1 0.2500 0.7500 0.5000
Ni1 0.7500 0.2500 0.5000
Fe1 0.0000 0.0000 0.0000
Fe2 0.5000 0.5000 0.0000
```

Computed properties:
**Formation energy (no corrections)**: 19.0 meV per atom
**DFT total energy**: -6.6883 eV/atom
**Space group**: I4/mmm, No. 139
**DOS(E_F)**: 2.04 states/eV per cell

***

Entry 5:
Material: K2CdHgF
Method: DFT, PBE-GGA
State: optimized geometry

```
data_K2CdHgF
_space_group_name_H-M_alt 'P 1'
_space_group_IT_number 1
_cell_length_a 5.1796
_cell_length_b 5.1796
_cell_length_c 5.7902
_cell_angle_alpha 90.00
_cell_angle_beta 90.00
_cell_angle_gamma 90.00
loop_
_space_group_symop_operation_xyz
'x,y,z'
loop_
_atom_site_label
_atom_site_fract_x
_atom_site_fract_y
_atom_site_fract_z
Cd1 0.0000 0.0000 0.5000
Hg1 0.5000 0.5000 0.5000
K1 0.5000 0.0000 0.0000
F1 0.0000 0.0000 0.0000
K2 0.0000 0.5000 0.0000
```

Computed properties:
**Formation energy (no corrections)**: -998.2 meV per atom
**Energy above the most stable polymorph in this dataset**: 0.000 eV per atom
**DFT total energy**: -2.0548 eV/atom
**Space group**: P4/mmm, No. 123
**DOS(E_F)**: 1.90 states/eV per cell

***

Entry 6:
Material: KCa2Ir
Method: DFT, PBE-GGA
State: optimized geometry

```
data_KCa2Ir
_space_group_name_H-M_alt 'P 1'
_space_group_IT_number 1
_cell_length_a 5.8818
_cell_length_b 5.8818
_cell_length_c 5.8818
_cell_angle_alpha 132.27
_cell_angle_beta 132.27
_cell_angle_gamma 69.80
loop_
_space_group_symop_operation_xyz
'x,y,z'
loop_
_atom_site_label
_atom_site_fract_x
_atom_site_fract_y
_atom_site_fract_z
Ca1 0.0000 0.0000 0.0000
K1 0.7500 0.2500 0.5000
Ca2 0.2500 0.7500 0.5000
Ir1 0.5000 0.5000 0.0000
```

Computed properties:
**Energy above the most stable polymorph in this dataset**: 0.451 eV per atom
**DFT total energy**: -3.1305 eV/atom
**Space group**: I-4m2, No. 119
**DOS(E_F)**: 1.05 states/eV per cell
**Energy of formation from the pure elements**: 359.9 meV per atom

***

Entry 7:
Material: Sr2TbH12Rh3
Method: DFT, PBE-GGA
State: optimized geometry

```
data_Sr2TbH12Rh3
_space_group_name_H-M_alt 'P 1'
_space_group_IT_number 1
_cell_length_a 6.1447
_cell_length_b 6.1447
_cell_length_c 6.1447
_cell_angle_alpha 67.07
_cell_angle_beta 67.07
_cell_angle_gamma 67.07
loop_
_space_group_symop_operation_xyz
'x,y,z'
loop_
_atom_site_label
_atom_site_fract_x
_atom_site_fract_y
_atom_site_fract_z
Sr1 0.6176 0.6176 0.6176
Rh1 0.0000 0.0000 0.5000
Rh2 0.5000 0.0000 0.0000
Tb1 0.0000 0.0000 0.0000
H1 0.1299 0.5934 0.1299
H2 0.8989 0.2838 0.2838
H3 0.2838 0.2838 0.8989
H4 0.8701 0.4066 0.8701
H5 0.5934 0.1299 0.1299
H6 0.1011 0.7162 0.7162
H7 0.4066 0.8701 0.8701
H8 0.8701 0.8701 0.4066
H9 0.2838 0.8989 0.2838
H10 0.7162 0.7162 0.1011
Sr2 0.3824 0.3824 0.3824
H11 0.7162 0.1011 0.7162
H12 0.1299 0.1299 0.5934
Rh3 0.0000 0.5000 0.0000
```

Computed properties:
**DFT total energy**: -4.3436 eV/atom
**Space group**: R-3m, No. 166
**DOS(E_F)**: 2.77 states/eV per cell

***

Entry 8:
Material: Dy6Cu2Ni
Method: DFT, PBE-GGA
State: optimized geometry

```
data_Dy6Cu2Ni
_space_group_name_H-M_alt 'P 1'
_space_group_IT_number 1
_cell_length_a 8.2814
_cell_length_b 8.2814
_cell_length_c 8.2814
_cell_angle_alpha 109.34
_cell_angle_beta 110.01
_cell_angle_gamma 109.07
loop_
_space_group_symop_operation_xyz
'x,y,z'
loop_
_atom_site_label
_atom_site_fract_x
_atom_site_fract_y
_atom_site_fract_z
Dy1 0.5694 0.7433 0.8261
Dy2 0.1826 0.2604 0.4430
Dy3 0.1826 0.7397 0.9223
Ni1 0.9996 0.4996 0.5000
Ni2 0.0000 0.0000 0.0000
Dy4 0.8174 0.2604 0.0777
Cu1 0.6495 0.0000 0.6495
Cu2 0.5000 0.3792 0.8792
Dy5 0.7015 0.3747 0.6732
Dy6 0.9172 0.7433 0.1739
Cu3 0.5000 0.6208 0.1208
Dy7 0.7015 0.0282 0.3268
Dy8 0.2986 0.6253 0.3268
Dy9 0.8174 0.7397 0.5570
Dy10 0.0828 0.2568 0.8261
Dy11 0.2986 0.9718 0.6732
Cu4 0.3505 0.0000 0.3505
Dy12 0.4307 0.2568 0.1739
```

Computed properties:
**Energy above the most stable polymorph in this dataset**: 0.000 eV per atom
**DFT total energy**: -4.7846 eV/atom
**Space group**: Immm, No. 71
**DOS(E_F)**: 16.39 states/eV per cell
**Energy of formation from the pure elements**: -163.9 meV per atom

***

Entry 9:
Material: KTlC3
Method: DFT, PBE-GGA
State: optimized geometry

```
data_KTlC3
_space_group_name_H-M_alt 'P 1'
_space_group_IT_number 1
_cell_length_a 5.5347
_cell_length_b 5.5347
_cell_length_c 5.5347
_cell_angle_alpha 90.00
_cell_angle_beta 90.00
_cell_angle_gamma 90.00
loop_
_space_group_symop_operation_xyz
'x,y,z'
loop_
_atom_site_label
_atom_site_fract_x
_atom_site_fract_y
_atom_site_fract_z
C1 0.5000 0.0000 0.0000
K1 0.0000 0.0000 0.0000
Tl1 0.5000 0.5000 0.5000
C2 0.0000 0.5000 0.0000
C3 0.0000 0.0000 0.5000
```

Computed properties:
**Energy above the most stable polymorph in this dataset**: 0.684 eV per atom
**DFT total energy**: -2.4614 eV/atom
**Space group**: Pm-3m, No. 221
**DOS(E_F)**: 15.69 states/eV per cell
**Energy of formation from the pure elements**: 3765.6 meV per atom

***

Entry 10:
Material: Na3BiAs
Method: DFT, PBE-GGA
State: optimized geometry

```
data_Na3BiAs
_space_group_name_H-M_alt 'P 1'
_space_group_IT_number 1
_cell_length_a 7.6009
_cell_length_b 7.6009
_cell_length_c 7.6009
_cell_angle_alpha 108.53
_cell_angle_beta 131.76
_cell_angle_gamma 90.93
loop_
_space_group_symop_operation_xyz
'x,y,z'
loop_
_atom_site_label
_atom_site_fract_x
_atom_site_fract_y
_atom_site_fract_z
Bi1 0.5158 0.2816 0.7341
Bi2 0.5475 0.7816 0.2659
Na1 0.0320 0.2080 0.6825
As1 0.0757 0.5399 0.0358
Na2 0.0320 0.8495 0.3240
Na3 0.0008 0.2792 0.2216
Na4 0.5255 0.7080 0.6760
As2 0.5041 0.0399 0.9642
Na5 0.0576 0.7792 0.7784
Na6 0.5255 0.3495 0.3175
```

Computed properties:
**Energy above the most stable polymorph in this dataset**: 0.000 eV per atom
**DFT total energy**: -2.6927 eV/atom
**Space group**: Ima2, No. 46
**DOS(E_F)**: 3.74 states/eV per cell
**Energy of formation from the pure elements**: -195.2 meV per atom

***

Entry 11:
Material: ZnGeRh4
Method: DFT, PBE-GGA
State: optimized geometry

```
data_ZnGeRh4
_space_group_name_H-M_alt 'P 1'
_space_group_IT_number 1
_cell_length_a 4.0717
_cell_length_b 4.0731
_cell_length_c 5.7899
_cell_angle_alpha 89.94
_cell_angle_beta 89.97
_cell_angle_gamma 90.00
loop_
_space_group_symop_operation_xyz
'x,y,z'
loop_
_atom_site_label
_atom_site_fract_x
_atom_site_fract_y
_atom_site_fract_z
Rh1 0.5014 0.9970 0.2538
Zn1 0.5013 0.4973 0.9981
Rh2 0.5012 0.9977 0.7424
Ge1 0.0013 0.9973 0.4982
Rh3 0.0015 0.4970 0.7423
Rh4 0.0011 0.4975 0.2540
```

Computed properties:
**DFT total energy**: -5.9179 eV/atom
**Space group**: C2/m, No. 12
**DOS(E_F)**: 8.04 states/eV per cell
**Energy of formation from the pure elements**: -35.1 meV per atom

***

Entry 12:
Material: RbNa
Method: DFT, PBE-GGA
State: optimized geometry

```
data_RbNa
_space_group_name_H-M_alt 'P 1'
_space_group_IT_number 1
_cell_length_a 16.7614
_cell_length_b 5.3323
_cell_length_c 8.6134
_cell_angle_alpha 90.00
_cell_angle_beta 90.00
_cell_angle_gamma 90.00
loop_
_space_group_symop_operation_xyz
'x,y,z'
loop_
_atom_site_label
_atom_site_fract_x
_atom_site_fract_y
_atom_site_fract_z
Na1 0.5000 0.0000 0.9295
Rb1 0.2020 0.0000 0.1842
Na2 0.3927 0.5000 0.1315
Rb2 0.0000 0.5000 0.9410
Rb3 0.2980 0.5000 0.6842
Na3 0.0000 0.5000 0.4295
Rb4 0.5000 0.0000 0.4410
Na4 0.1073 0.0000 0.6315
Rb5 0.7020 0.5000 0.6842
Na5 0.6073 0.5000 0.1315
Na6 0.8927 0.0000 0.6315
Rb6 0.7980 0.0000 0.1842
```

Computed properties:
**DFT total energy**: -1.0891 eV/atom
**Space group**: Imm2, No. 44
**DOS(E_F)**: 9.14 states/eV per cell
**Energy of formation from the pure elements**: 54.2 meV per atom